[1]
VASP calculation (PBEsol) on Ba2Li2Ca after structural relaxation.

Summary:
VASP energy = -1.98 eV per atom
crystal system = tetragonal
Fermi-level density of states = 11.48 states/eV per cell
formation energy from the elements = 0.0918 eV/atom

a = 4.035 Å, b = 4.035 Å, c = 24.869 Å
α = 90.00°, β = 90.00°, γ = 90.00°
Space group I4/mmm (No. 139)
Inequivalent atoms, fractional coordinates:
Ba  0.000  0.000  0.125 (multiplicity 4)
Li  0.000  0.500  0.250 (multiplicity 4)
Ca  0.000  0.000  0.500 (multiplicity 2)

=====

[2]
VASP calculation (PBEsol) on BaLiCa2 after structural relaxation.

Summary:
VASP energy = -2.06 eV per atom
crystal system = orthorhombic
Fermi-level density of states = 9.92 states/eV per cell
formation energy from the elements = 0.0339 eV/atom

a = 4.079 Å, b = 6.275 Å, c = 12.623 Å
α = 90.00°, β = 90.00°, γ = 90.00°
Space group Immm (No. 71)
Inequivalent atoms, fractional coordinates:
Ba  0.000  0.000  0.000 (multiplicity 2)
Li  0.000  0.000  0.500 (multiplicity 2)
Ca  0.000  0.500  0.214 (multiplicity 4)